No. 1
Computed, not measured: a relaxed structure of Rb3TlV2O8 at the GGA+U level of DFT.

```
14
Lattice="6.062 0.000 0.000 -3.031 5.250 0.000 0.000 0.000 7.965" Properties=species:S:1:pos:R:3 pbc="T T T"
Rb 0.000 0.000 0.000
Rb 0.000 3.500 5.571
Rb 3.031 1.750 2.394
Tl 0.000 0.000 3.982
V 0.000 3.500 2.051
V 3.031 1.750 5.914
O 0.000 1.827 2.624
O -1.449 4.336 2.624
O 0.000 3.500 0.370
O 1.582 0.913 5.341
O 1.449 4.336 2.624
O 3.031 1.750 7.594
O 4.480 0.913 5.341
O 3.031 3.423 5.341
```

Properties
* D(E_F): 0.00 states/eV/cell



No. 2
Computed, not measured: a relaxed structure of RbTlV2O6 at the GGA+U level of DFT.

```
20
Lattice="5.746 -5.841 0.000 5.746 5.841 0.000 -0.952 0.000 5.857" Properties=species:S:1:pos:R:3 pbc="T T T"
Rb 5.031 4.607 4.393
Rb 5.507 -4.607 1.464
Tl 5.507 2.266 1.464
Tl 5.031 -2.266 4.393
V 2.519 0.950 4.411
V 2.995 -0.950 1.482
V 7.544 0.950 4.376
V 8.020 -0.950 1.447
O 0.876 1.255 4.166
O 3.329 2.373 4.734
O 1.353 -1.255 1.238
O 3.225 0.167 2.909
O 2.748 -0.167 5.838
O 6.733 2.373 4.052
O 3.805 -2.373 1.805
O 7.790 0.167 0.019
O 7.314 -0.167 2.948
O 9.186 1.255 4.620
O 7.209 -2.373 1.123
O 9.662 -1.255 1.691
```

Properties
* D(E_F): 0.00 states/eV/cell



No. 3
Computed, not measured: a relaxed structure of RbTl2V2O6 at the GGA+U level of DFT.

```
11
Lattice="3.233 1.867 7.330 -3.233 1.867 7.330 0.000 -3.733 7.330" Properties=species:S:1:pos:R:3 pbc="T T T"
Rb 0.000 0.000 0.000
Tl 0.000 0.000 3.882
Tl 0.000 0.000 18.109
V 0.000 0.000 9.575
V 0.000 0.000 12.417
O -1.472 -0.850 12.569
O 0.000 -1.700 9.423
O -1.472 0.850 9.423
O 1.472 -0.850 12.569
O 0.000 1.700 12.569
O 1.472 0.850 9.423
```



no.,VASP energy (eV per atom)
1,-6.014
2,-6.591
3,-5.933